First-principles (GGA+U) data for crystalline Ga2MoO at its relaxed geometry, as listed in Alexandria.

The value obtained for the density of states at the Fermi level is 0.91 states/eV/f.u. As for the raw total energy: -4.588 eV/atom.

Cell lengths 6.4168, 6.4168, 5.5112 Å; angles 54.40, 54.40, 90.00 degrees
Positions (direct):
Mo: 0.0000 0.0000 0.0000
O: 0.5000 0.5000 0.0000
Mo: 0.7500 0.2500 0.5000
Ga: 0.5486 0.1250 0.2500
O: 0.2500 0.7500 0.5000
Ga: 0.8750 0.7986 0.7500
Ga: 0.3750 0.4514 0.7500
Ga: 0.2014 0.6250 0.2500